A geometry-optimized Li4Cr2Fe3Co3O16 structure. Source: Alexandria via LeMat-Bulk, functional PBE with a Hubbard U.

```
Li4Cr2Fe3Co3O16
1.0
-3.017 -1.758 4.563
-0.182 -5.582 1.350
7.541 1.011 5.449
Li Cr Fe Co O
4 2 3 3 16
Direct
0.664 0.664 0.103 Li
0.005 0.005 0.004 Li
0.009 0.009 0.503 Li
0.328 0.328 0.606 Li
0.667 0.667 0.511 Cr
0.335 0.335 0.013 Cr
0.829 0.829 0.785 Fe
0.661 0.167 0.287 Fe
0.167 0.661 0.287 Fe
0.828 0.335 0.787 Co
0.335 0.828 0.787 Co
0.174 0.174 0.287 Co
0.842 0.343 0.405 O
0.518 0.518 0.667 O
0.661 0.661 0.890 O
0.001 0.001 0.690 O
0.004 0.004 0.194 O
0.343 0.842 0.405 O
0.954 0.514 0.662 O
0.514 0.954 0.662 O
0.162 0.162 0.887 O
0.839 0.839 0.405 O
0.475 0.034 0.160 O
0.034 0.475 0.160 O
0.335 0.335 0.395 O
0.678 0.167 0.894 O
0.481 0.481 0.162 O
0.167 0.678 0.894 O
```

DOS(E_F)	4.3	states/eV/f.u.
total energy	-171.32	eV/cell

---

A geometry-optimized Li4Cr3Fe2Co3O16 structure. Source: Alexandria via LeMat-Bulk, functional PBE with a Hubbard U.

```
Li4Cr3Fe2Co3O16
1.0
5.792 -0.034 0.024
-2.843 5.029 0.002
-0.105 -0.086 9.473
Li Cr Fe Co O
4 3 2 3 16
Direct
0.672 0.334 0.108 Li
0.990 0.002 0.004 Li
0.996 0.009 0.501 Li
0.344 0.664 0.602 Li
0.340 0.167 0.786 Cr
0.831 0.664 0.787 Cr
0.167 0.832 0.288 Cr
0.665 0.328 0.508 Fe
0.324 0.660 0.013 Fe
0.833 0.171 0.786 Co
0.170 0.341 0.286 Co
0.661 0.833 0.286 Co
0.323 0.157 0.396 O
0.531 0.487 0.662 O
0.676 0.332 0.896 O
0.993 0.003 0.688 O
0.992 0.003 0.190 O
0.838 0.678 0.394 O
0.535 0.036 0.663 O
0.968 0.478 0.669 O
0.152 0.829 0.900 O
0.834 0.159 0.392 O
0.038 0.522 0.168 O
0.483 0.963 0.169 O
0.340 0.666 0.392 O
0.150 0.322 0.898 O
0.483 0.523 0.168 O
0.672 0.838 0.892 O
```

total energy	-177.90	eV/cell